No. 1
LiHg2Pd: optimized geometry, GGA-PBE.

Lattice parameters (Å, degrees): 4.3340 4.3340 9.5439 90.00 90.00 120.00
Fractional positions:
Li 0.3333 0.6667 0.2500
Li 0.6667 0.3333 0.7500
Hg 0.3333 0.6667 0.5873
Hg 0.3333 0.6667 0.9127
Hg 0.6667 0.3333 0.0873
Hg 0.6667 0.3333 0.4127
Pd 0.0000 0.0000 0.2500
Pd 0.0000 0.0000 0.7500


No. 2
LiHg2Pd: optimized geometry, GGA-PBE.

Lattice parameters (Å, degrees): 4.3813 4.3813 3.7580 90.00 90.00 90.00
Fractional positions:
Li 0.0000 0.0000 0.0000
Hg 0.0000 0.5000 0.5000
Hg 0.5000 0.0000 0.5000
Pd 0.5000 0.5000 0.0000


No. 3
LiHg2Pd: optimized geometry, GGA-PBE.

Lattice parameters (Å, degrees): 4.6962 4.6962 4.6962 60.00 60.00 60.00
Fractional positions:
Li 0.0000 0.0000 0.0000
Hg 0.5000 0.5000 0.5000
Hg 0.7500 0.7500 0.7500
Pd 0.2500 0.2500 0.2500


No. 4
Li2HgPd: optimized geometry, GGA-PBE.

Lattice parameters (Å, degrees): 4.5173 4.5173 4.5173 60.00 60.00 60.00
Fractional positions:
Li 0.0000 0.0000 0.0000
Li 0.2500 0.2500 0.2500
Hg 0.7500 0.7500 0.7500
Pd 0.5000 0.5000 0.5000


Result set for density: 11.01; 11.84; 11.67; 8.17 g/cm³, one per record in the order listed.
Result set for final energy: -16.58; -8.85; -8.53; -10.92 eV per cell, one per record in the order listed.